This record from Alexandria describes a relaxed BiMo2As2 crystal. The functional is PBE.

Structure (POSCAR):
```
BiMo2As2
1.0
3.923 0.000 0.000
0.000 3.923 0.000
1.961 1.961 6.279
Bi Mo As
1 2 2
Direct
0.000 0.000 0.000
0.617 0.617 0.767
0.383 0.383 0.233
0.250 0.750 0.500
0.750 0.250 0.500
```

Results
ΔE to the lowest computed polymorph = 120 meV/atom
E_form = 0.28 eV per atom
Spin magnetization = 0.00 μB per cell